(1)
Computed, not measured: an optimized crystal structure of YH4Os at the PBE level of DFT.

Cell: 3.7707 3.7707 8.3950 Å, 90.00 90.00 69.31°
With the nearest neighbours (Å) after each atom.
Positions (direct):
H: 0.1460 0.6508 0.2500  2 Os 1.87-1.90
H: 0.8540 0.3494 0.7500  2 Os 1.87-1.90
H: 0.3547 0.3546 0.5473  1 Os 1.70
H: 0.3492 0.8540 0.7500  2 Os 1.87-1.90
H: 0.6454 0.6453 0.4527  1 Os 1.70
H: 0.3547 0.3546 0.9527  1 Os 1.70
H: 0.6454 0.6453 0.0473  1 Os 1.70
H: 0.6506 0.1460 0.2500  2 Os 1.87-1.90
Y: 0.0000 0.0000 0.0000  10 H 2.24-2.44
Y: 0.0000 0.0000 0.5000  10 H 2.24-2.44
Os: 0.6499 0.6498 0.2500  6 H 1.70-1.90
Os: 0.3502 0.3501 0.7500  6 H 1.70-1.90

The calculation puts the mass density at 8.4 g/cm3. The total energy is -32.84 eV/f.u. Its space-group type is No. 63.

(2)
Computed, not measured: an optimized crystal structure of PmAl3PdPt at the PBE level of DFT.

Cell: 5.6734 6.0791 7.3044 Å, 114.59 90.00 90.00°
With the nearest neighbours (Å) after each atom.
Positions (direct):
Al: 0.7500 0.8621 0.7243  1 Pd 2.85, 4 Al 2.88, 3 Pt 2.91-3.01, 2 Pm 3.16
Al: 0.0000 0.2824 0.0000  2 Pt 2.52, 1 Al 2.65, 2 Pd 2.76
Al: 0.2500 0.1379 0.2757  1 Pd 2.85, 4 Al 2.88, 3 Pt 2.91-3.01, 2 Pm 3.16
Al: 0.5000 0.2824 0.0000  2 Pt 2.52, 1 Al 2.65, 2 Pd 2.76
Al: 0.0000 0.7176 0.0000  2 Pt 2.52, 1 Al 2.65, 2 Pd 2.76
Al: 0.5000 0.7176 0.0000  2 Pt 2.52, 1 Al 2.65, 2 Pd 2.76
Pt: 0.7500 0.0885 0.1769  4 Al 2.52, 1 Pm 2.75
Pt: 0.2500 0.9115 0.8231  4 Al 2.52, 1 Pm 2.75
Pd: 0.7500 0.6479 0.2958  5 Al 2.76-2.85, 2 Pm 2.93
Pd: 0.2500 0.3521 0.7042  5 Al 2.76-2.85, 2 Pm 2.93
Pm: 0.2500 0.7042 0.4083  1 Pt 2.75, 2 Pd 2.93
Pm: 0.7500 0.2958 0.5917  1 Pt 2.75, 2 Pd 2.93

The calculation puts the mass density at 7.6 g/cm3. Its formation energy is -4.05 eV/f.u. Its space-group type is No. 63.

(3)
Computed, not measured: an optimized crystal structure of Pb6I7Cl5 at the PBE level of DFT.

Cell: 7.3426 7.3426 13.9708 Å, 90.00 90.00 96.90°
With the nearest neighbours (Å) after each atom.
Positions (direct):
Pb: 0.4880 0.4880 0.3221  3 Cl 2.89-2.99, 1 I 3.22
Pb: 0.0267 0.0267 0.5000  1 Cl 2.84
Pb: 0.4931 0.4931 0.0000  4 Cl 2.90-3.01, 2 I 3.24
Pb: 0.9915 0.9915 0.1656  2 Cl 2.97, 4 I 3.23
Pb: 0.9915 0.9915 0.8344  2 Cl 2.97, 4 I 3.23
Pb: 0.4880 0.4880 0.6779  3 Cl 2.89-2.99, 1 I 3.22
I: 0.2228 0.8155 0.3309  3 Pb 3.23-3.27
I: 0.1878 0.7771 0.0000  3 Pb 3.23-3.24
I: 0.7771 0.1878 0.0000  3 Pb 3.23-3.24
I: 0.6980 0.6980 0.5000  3 Pb 3.20-3.22
I: 0.2228 0.8155 0.6691  3 Pb 3.23-3.27
I: 0.8155 0.2228 0.3309  3 Pb 3.23-3.27
I: 0.8155 0.2228 0.6691  3 Pb 3.23-3.27
Cl: 0.2957 0.2957 0.1552  3 Pb 2.90-2.99
Cl: 0.6861 0.6861 0.1683  3 Pb 2.89-3.01
Cl: 0.2957 0.2957 0.8448  3 Pb 2.90-2.99
Cl: 0.6861 0.6861 0.8317  3 Pb 2.89-3.01
Cl: 0.3181 0.3181 0.5000  3 Pb 2.84-2.99

The raw formation energy comes out at -0.8222 eV/atom. The calculation puts the mass density at 5.1 g/cm3. Its space-group type is No. 38.

(4)
Computed, not measured: an optimized crystal structure of HfUTiIn at the PBE level of DFT.

Cell: 4.9219 4.9219 4.9219 Å, 60.00 60.00 60.00°
With the nearest neighbours (Å) after each atom.
Positions (direct):
In: 0.5000 0.5000 0.5000  4 Hf 3.01, 4 Ti 3.01
U: 0.0000 0.0000 0.0000  4 Ti 3.01, 4 Hf 3.01
Hf: 0.7500 0.7500 0.7500  4 In 3.01, 4 U 3.01
Ti: 0.2500 0.2500 0.2500  4 In 3.01, 4 U 3.01

The calculation puts the mass density at 11.4 g/cm3. Its formation energy is 0.90 eV/f.u. Its space-group type is No. 216.

(5)
Computed, not measured: an optimized crystal structure of Y3NpSe6 at the PBE level of DFT.

Cell: 4.1130 11.6187 11.8447 Å, 109.05 90.00 90.00°
With the nearest neighbours (Å) after each atom.
Positions (direct):
Np: 0.7500 0.0464 0.6919  8 Se 2.97-3.13
Np: 0.2500 0.9536 0.3081  8 Se 2.97-3.13
Se: 0.7500 0.9172 0.0999  3 Y 2.87-2.90, 2 Np 3.13
Se: 0.2500 0.2543 0.7237  3 Y 2.91-3.00, 2 Np 3.10
Se: 0.2500 0.5194 0.3845  4 Y 2.81-3.05
Se: 0.7500 0.4806 0.6155  4 Y 2.81-3.05
Se: 0.2500 0.1931 0.2502  3 Y 2.80-2.83, 1 Np 3.08
Se: 0.2500 0.8864 0.5377  3 Np 2.97-3.06, 2 Y 3.07
Se: 0.7500 0.1136 0.4623  3 Np 2.97-3.06, 2 Y 3.07
Se: 0.7500 0.3955 0.0629  4 Y 2.85-2.89
Se: 0.7500 0.8069 0.7498  3 Y 2.80-2.83, 1 Np 3.08
Se: 0.2500 0.6045 0.9371  4 Y 2.85-2.89
Se: 0.2500 0.0828 0.9001  3 Y 2.87-2.90, 2 Np 3.13
Se: 0.7500 0.7457 0.2763  3 Y 2.91-3.00, 2 Np 3.10
Y: 0.2500 0.5670 0.1664  6 Se 2.81-2.91
Y: 0.7500 0.4330 0.8336  6 Se 2.81-2.91
Y: 0.2500 0.8424 0.9179  6 Se 2.80-2.90
Y: 0.7500 0.1576 0.0821  6 Se 2.80-2.90
Y: 0.2500 0.3190 0.4987  7 Se 2.82-3.07
Y: 0.7500 0.6810 0.5013  7 Se 2.82-3.07

Its energy above the most stable polymorph in this dataset is 0.000 eV per atom. The raw formation energy comes out at -1.6920 eV/atom. The calculation puts the mass density at 6.1 g/cm3. Its space-group type is No. 11.

(6)
Computed, not measured: an optimized crystal structure of LiNi4As2 at the PBE level of DFT.

Cell: 3.7300 7.1013 7.1013 Å, 90.00 90.00 90.00°
With the nearest neighbours (Å) after each atom.
Positions (direct):
Ni: 0.0000 0.9170 0.6598  3 As 2.35, 6 Ni 2.56-2.60
Ni: 0.5000 0.4170 0.8402  3 As 2.35, 6 Ni 2.56-2.60
Ni: 0.0000 0.3402 0.0830  3 As 2.35, 6 Ni 2.56-2.60
Ni: 0.5000 0.8402 0.4170  3 As 2.35, 6 Ni 2.56-2.60
Ni: 0.0000 0.0830 0.3402  3 As 2.35, 6 Ni 2.56-2.60
Ni: 0.5000 0.1598 0.5830  3 As 2.35, 6 Ni 2.56-2.60
Ni: 0.5000 0.5830 0.1598  3 As 2.35, 6 Ni 2.56-2.60
Ni: 0.0000 0.6598 0.9170  3 As 2.35, 6 Ni 2.56-2.60
As: 0.5000 0.2727 0.2727  6 Ni 2.35
As: 0.0000 0.2273 0.7727  6 Ni 2.35
As: 0.5000 0.7273 0.7273  6 Ni 2.35
As: 0.0000 0.7727 0.2273  6 Ni 2.35
Li: 0.0000 0.5000 0.5000  6 As 2.74-2.95
Li: 0.5000 0.0000 0.0000  6 As 2.74-2.95

The calculation puts the mass density at 6.9 g/cm3. Its formation energy is -2.54 eV/f.u. Its space-group type is No. 136.

Number 1: volume 111.7 Å³ per cell. Number 2: volume 229.1 Å³ per cell. Number 3: volume 747.8 Å³ per cell. Number 4: volume 84.3 Å³ per cell. Number 5: volume 535.0 Å³ per cell. Number 6: volume 188.1 Å³ per cell.